w.
Material: YThSc2
Method: DFT, PBE-GGA
State: relaxed

Its total moment is 0.1057 μB/atom.

The structure belongs to space group R3m (No. 160, hexagonal axes); the cell edges are 3.4813, 3.4813 and 32.4391 Å and the angles 90.00°, 90.00° and 120.00°. The distinct sites, in fractional coordinates, are Y at (0.0000, 0.0000, 0.0000), Th at (0.0000, 0.0000, 0.8339), Sc at (0.0000, 0.0000, 0.2488) and Sc at (0.0000, 0.0000, 0.4185).


x.
Material: YThSc2
Method: DFT, PBE-GGA
State: relaxed

Its total moment is 0.0000 μB/atom.

The structure belongs to space group Fm-3m (No. 225); the cell edges are 7.676, 7.676 and 7.676 Å and the angles 90.00°, 90.00° and 90.00°. The distinct sites, in fractional coordinates, are Y at (0.000, 0.000, 0.000), Th at (0.000, 0.000, 0.500) and Sc at (0.250, 0.250, 0.250).


y.
Material: YThSc2
Method: DFT, PBE-GGA
State: relaxed

Its total moment is 0.0001 μB/atom.

The structure belongs to space group R-3m (No. 166, hexagonal axes); the cell edges are 3.4668, 3.4668 and 32.6487 Å and the angles 90.00°, 90.00° and 120.00°. The distinct sites, in fractional coordinates, are Y at (0.0000, 0.0000, 0.0000), Th at (0.0000, 0.0000, 0.5000) and Sc at (0.0000, 0.0000, 0.2481).


z.
Material: YThSc2
Method: DFT, PBE-GGA
State: relaxed

Its total moment is 0.0000 μB/atom.

The structure belongs to space group Cmmm (No. 65); the cell edges are 7.000, 9.117 and 3.514 Å and the angles 90.00°, 90.00° and 90.00°. The distinct sites, in fractional coordinates, are Y at (0.000, 0.000, 0.000), Th at (0.000, 0.500, 0.000) and Sc at (0.250, 0.250, 0.500).


z comes first in stability; the runner-up is 17 meV per atom higher.


w.
Material: YTh3Sc2
Method: DFT, PBE-GGA
State: relaxed

Its total moment is 0.0000 μB/atom.

The structure belongs to space group P4/mmm (No. 123); the cell edges are 3.519, 3.519 and 14.362 Å and the angles 90.00°, 90.00° and 90.00°. The distinct sites, in fractional coordinates, are Y at (0.000, 0.000, 0.000), Th at (0.500, 0.500, 0.178), Th at (0.500, 0.500, 0.500) and Sc at (0.000, 0.000, 0.339).


x.
Material: YTh3Sc2
Method: DFT, PBE-GGA
State: relaxed

Its total moment is 0.0000 μB/atom.

The structure belongs to space group C2/m (No. 12); the cell edges are 18.709, 5.080 and 7.752 Å and the angles 90.00°, 90.26° and 90.00°. The distinct sites, in fractional coordinates, are Y at (0.148, 0.000, 0.242), Th at (0.063, 0.000, 0.665), Th at (0.102, 0.500, 0.935), Th at (0.190, 0.500, 0.551), Sc at (0.044, 0.500, 0.348) and Sc at (0.229, 0.000, 0.849).


w comes first in stability; the runner-up is 137 meV per atom higher.


w.
Material: YTh2Sc4
Method: DFT, PBE-GGA
State: relaxed

Its total moment is 0.0000 μB/atom.

The structure belongs to space group Cmmm (No. 65); the cell edges are 3.609, 21.135 and 5.375 Å and the angles 90.00°, 90.00° and 90.00°. The distinct sites, in fractional coordinates, are Y at (0.000, 0.000, 0.000), Th at (0.000, 0.427, 0.500), Sc at (0.000, 0.198, 0.500) and Sc at (0.000, 0.318, 0.000).


x.
Material: YTh2Sc4
Method: DFT, PBE-GGA
State: relaxed

Its total moment is 0.0000 μB/atom.

The structure belongs to space group Pbam (No. 55); the cell edges are 10.954, 21.076 and 3.384 Å and the angles 90.00°, 90.00° and 90.00°. The distinct sites, in fractional coordinates, are Y at (0.125, 0.176, 0.000), Th at (0.115, 0.893, 0.500), Th at (0.118, 0.451, 0.000), Sc at (0.120, 0.312, 0.500), Sc at (0.124, 0.746, 0.000), Sc at (0.130, 0.029, 0.000) and Sc at (0.142, 0.603, 0.500).


x comes first in stability; the runner-up is 171 meV per atom higher.


w.
Material: YTh2Sc2
Method: DFT, PBE-GGA
State: relaxed

Its total moment is 0.0000 μB/atom.

The structure belongs to space group Fddd (No. 70, origin choice 2); the cell edges are 5.769, 10.823 and 21.139 Å and the angles 90.00°, 90.00° and 90.00°. The distinct sites, in fractional coordinates, are Y at (0.125, 0.125, 0.125), Th at (0.125, 0.285, 0.625) and Sc at (0.000, 0.000, 0.000).


x.
Material: YTh2Sc2
Method: DFT, PBE-GGA
State: relaxed

Its total moment is 0.0000 μB/atom.

The structure belongs to space group Cmce (No. 64); the cell edges are 4.892, 24.376 and 9.804 Å and the angles 90.00°, 90.00° and 90.00°. The distinct sites, in fractional coordinates, are Y at (0.000, 0.149, 0.117), Th at (0.000, 0.048, 0.379), Th at (0.000, 0.249, 0.875), Sc at (0.000, 0.047, 0.871) and Sc at (0.000, 0.148, 0.634).


x comes first in stability; the runner-up is 518 meV per atom higher.


w.
Material: Y3ThSc
Method: DFT, PBE-GGA
State: relaxed

Its total moment is 0.1657 μB/atom.

The structure belongs to space group R-3m (No. 166, hexagonal axes); the cell edges are 6.7295, 6.7295 and 24.2585 Å and the angles 90.00°, 90.00° and 120.00°. The distinct sites, in fractional coordinates, are Y at (0.0071, 0.5035, 0.3880), Th at (0.0000, 0.0000, 0.4303) and Sc at (0.0000, 0.0000, 0.1664).


x.
Material: Y3ThSc
Method: DFT, PBE-GGA
State: relaxed

Its total moment is 0.0000 μB/atom.

The structure belongs to space group Pbcm (No. 57); the cell edges are 3.532, 17.166 and 10.482 Å and the angles 90.00°, 90.00° and 90.00°. The distinct sites, in fractional coordinates, are Y at (0.244, 0.250, 0.000), Y at (0.253, 0.578, 0.063), Th at (0.241, 0.095, 0.750) and Sc at (0.257, 0.736, 0.250).


x comes first in stability; the runner-up is 132 meV per atom higher.


w.
Material: YTh3Sc4
Method: DFT, PBE-GGA
State: relaxed

Its total moment is 0.0000 μB/atom.

The structure belongs to space group Pmmn (No. 59, origin choice 2); the cell edges are 4.909, 9.854 and 9.434 Å and the angles 90.00°, 90.00° and 90.00°. The distinct sites, in fractional coordinates, are Y at (0.250, 0.250, 0.135), Th at (0.250, 0.002, 0.866), Th at (0.250, 0.750, 0.135), Sc at (0.250, 0.250, 0.616), Sc at (0.250, 0.502, 0.386) and Sc at (0.250, 0.750, 0.617).


x.
Material: YTh3Sc4
Method: DFT, PBE-GGA
State: relaxed

Its total moment is 0.0000 μB/atom.

The structure belongs to space group Pmmm (No. 47); the cell edges are 3.716, 5.508 and 11.023 Å and the angles 90.00°, 90.00° and 90.00°. The distinct sites, in fractional coordinates, are Y at (0.000, 0.000, 0.000), Th at (0.000, 0.000, 0.500), Th at (0.000, 0.500, 0.247), Sc at (0.500, 0.000, 0.254), Sc at (0.500, 0.500, 0.000) and Sc at (0.500, 0.500, 0.500).


x comes first in stability; the runner-up is 15 meV per atom higher.


w.
Material: YTh2Sc3
Method: DFT, PBE-GGA
State: relaxed

Its total moment is 0.0000 μB/atom.

The structure belongs to space group P4/mmm (No. 123); the cell edges are 3.492, 3.492 and 13.973 Å and the angles 90.00°, 90.00° and 90.00°. The distinct sites, in fractional coordinates, are Y at (0.000, 0.000, 0.000), Th at (0.000, 0.000, 0.334), Sc at (0.500, 0.500, 0.172) and Sc at (0.500, 0.500, 0.500).


x.
Material: YTh2Sc3
Method: DFT, PBE-GGA
State: relaxed

Its total moment is 0.0000 μB/atom.

The structure belongs to space group Cmcm (No. 63); the cell edges are 3.480, 17.535 and 11.176 Å and the angles 90.00°, 90.00° and 90.00°. The distinct sites, in fractional coordinates, are Y at (0.000, 0.222, 0.250), Th at (0.000, 0.000, 0.000), Th at (0.000, 0.446, 0.750), Sc at (0.000, 0.110, 0.750) and Sc at (0.000, 0.333, 0.007).


w comes first in stability; the runner-up is 22 meV per atom higher.


w.
Material: Y3ThSc2
Method: DFT, PBE-GGA
State: relaxed

Its total moment is 0.0000 μB/atom.

The structure belongs to space group P-1 (No. 2); the cell edges are 5.998, 6.015 and 10.403 Å and the angles 90.30°, 106.06° and 99.09°. The distinct sites, in fractional coordinates, are Y at (0.244, 0.133, 0.458), Y at (0.251, 0.628, 0.293), Y at (0.255, 0.634, 0.955), Th at (0.248, 0.119, 0.792), Sc at (0.248, 0.120, 0.123) and Sc at (0.253, 0.626, 0.630).


x.
Material: Y3ThSc2
Method: DFT, PBE-GGA
State: relaxed

Its total moment is 0.0000 μB/atom.

The structure belongs to space group P2_1/m (No. 11); the cell edges are 9.529, 3.373 and 11.931 Å and the angles 90.00°, 108.08° and 90.00°. The distinct sites, in fractional coordinates, are Y at (0.078, 0.250, 0.390), Y at (0.115, 0.750, 0.135), Y at (0.218, 0.750, 0.883), Th at (0.304, 0.750, 0.637), Sc at (0.403, 0.750, 0.388) and Sc at (0.481, 0.750, 0.134).


w comes first in stability; the runner-up is 113 meV per atom higher.